# 1
Here is Gd2PuMg after structural relaxation from Alexandria. Energies are from GGA-PBE.

Cell: 5.4565 5.4565 5.4565 Å, 60.00 60.00 60.00°
Element x y z (fractional)
1 Gd 0.2500 0.2500 0.2500
2 Gd 0.7500 0.7500 0.7500
3 Pu 0.0000 0.0000 0.0000
4 Mg 0.5000 0.5000 0.5000

Calculated values
distance to the lowest polymorph of the same formula: 85 meV/atom
calculated formation energy: 0.14 eV/atom
symmetry: Fm-3m (225)
raw total energy: -10.883 eV per atom

# 2
Here is GdPuMg after structural relaxation from Alexandria. Energies are from GGA-PBE.

Cell: 5.4446 5.4446 3.1626 Å, 90.00 90.00 120.00°
Element x y z (fractional)
1 Gd 0.0000 0.0000 0.0000
2 Pu 0.3333 0.6667 0.6170
3 Mg 0.6667 0.3333 0.3108

Calculated values
distance to the lowest polymorph of the same formula: 29 meV/atom
calculated formation energy: 0.14 eV/atom
symmetry: P3m1 (156)
raw total energy: -9.866 eV per atom

# 3
Here is GdPuMg4 after structural relaxation from Alexandria. Energies are from GGA-PBE.

Cell: 7.8783 7.8783 7.8783 Å, 60.00 60.00 60.00°
Element x y z (fractional)
1 Gd 0.0000 0.0000 0.0000
2 Pu 0.2500 0.2500 0.2500
3 Mg 0.4718 0.8427 0.8427
4 Mg 0.8427 0.4718 0.8427
5 Mg 0.8427 0.8427 0.4718
6 Mg 0.8427 0.8427 0.8427

Calculated values
calculated formation energy: 1.27 eV/atom
symmetry: F-43m (216)
raw total energy: -4.524 eV per atom

| no. | spin magnetization (μB per atom) | density (g/cm³) |
| --- | --- | --- |
| 1 | 2.014 | 8.4 |
| 2 | 0.444 | 8.7 |
| 3 | 0.469 | 2.4 |